InCuBPd2: optimized geometry, PBE-GGA.

a b c (Å): 4.2503 4.2503 4.0427
angles (deg): 90.00 90.00 90.00
Last column: nearest neighbours and their distance in Å.
Space group P4/mmm (No. 123)
Inequivalent atoms, fractional coordinates:
In 0.0000 0.0000 0.0000 x1  8 Pd 2.93, 4 Cu 3.01
Cu 0.5000 0.5000 0.0000 x1  2 B 2.02
B 0.5000 0.5000 0.5000 x1  2 Cu 2.02, 4 Pd 2.13
Pd 0.0000 0.5000 0.5000 x2  2 B 2.13

Total magnetization in μB/cell: 0.00
E_tot in eV per atom: -4.9296
DFT formation energy in eV per atom: -0.150